[1]
This record from Alexandria describes a geometry-optimized La2TbZnTe5 structure. The functional is PBE.

a b c (Å): 9.9283 9.9283 13.2988
angles (deg): 90.00 90.00 154.57
With the nearest neighbours (Å) after each atom.
Fractional coordinates of all 18 atoms:
La1 0.1153 0.8847 0.5000  8 Te 3.31-3.47
La2 0.1279 0.8721 0.1266  7 Te 3.27-3.60
La3 0.8721 0.1279 0.6266  7 Te 3.27-3.60
La4 0.8847 0.1153 0.0000  8 Te 3.31-3.47
Tb1 0.1981 0.8019 0.8286  6 Te 3.06-3.10
Tb2 0.8019 0.1981 0.3286  6 Te 3.06-3.10
Zn1 0.4370 0.5630 0.2686  4 Te 2.63-2.80
Zn2 0.5630 0.4370 0.7686  4 Te 2.63-2.80
Te1 0.0437 0.9563 0.8790  2 Zn 2.66
Te2 0.2885 0.7115 0.4901  2 Tb 3.08, 3 La 3.27-3.36
Te3 0.3118 0.6882 0.1638  1 Zn 2.80, 2 Tb 3.10
Te4 0.3574 0.6426 0.8170  1 Tb 3.09, 4 La 3.31-3.36
Te5 0.4989 0.5011 0.5947  1 Zn 2.63
Te6 0.5011 0.4989 0.0947  1 Zn 2.63
Te7 0.6426 0.3574 0.3170  1 Tb 3.09, 4 La 3.31-3.36
Te8 0.6882 0.3118 0.6639  1 Zn 2.80, 2 Tb 3.10
Te9 0.7115 0.2885 0.9901  2 Tb 3.08, 3 La 3.27-3.36
Te10 0.9563 0.0437 0.3790  2 Zn 2.66

## Properties
Energy relative to the elements, uncorrected ... -1288 meV/atom

---

[2]
This record from Alexandria describes a geometry-optimized K5PdS4 structure. The functional is PBE.

a b c (Å): 10.8095 10.8095 8.6134
angles (deg): 113.39 113.39 19.45
With the nearest neighbours (Å) after each atom.
Fractional coordinates of all 10 atoms:
K1 0.0000 0.0000 0.0000  4 S 3.28, 2 K 3.65
K2 0.3380 0.3380 0.1360  4 S 3.01-3.16
K3 0.3381 0.3381 0.5395  4 S 3.01-3.16
K4 0.6619 0.6619 0.4605  4 S 3.01-3.16
K5 0.6620 0.6620 0.8640  4 S 3.01-3.16
Pd1 0.0000 0.0000 0.5000  4 S 2.41
S1 0.2578 0.2578 0.7577  6 K 3.01-3.14
S2 0.4999 0.4999 0.3165  2 Pd 2.41
S3 0.5001 0.5001 0.6835  2 Pd 2.41
S4 0.7422 0.7422 0.2423  6 K 3.01-3.14

## Properties
Energy relative to the elements, uncorrected ... -772 meV/atom

---

[3]
This record from Alexandria describes a geometry-optimized Zn2ClO structure. The functional is PBE.

a b c (Å): 3.4004 6.1828 8.0912
angles (deg): 88.98 79.59 75.55
With the nearest neighbours (Å) after each atom.
Fractional coordinates of all 8 atoms:
Zn1 0.0000 0.0000 0.0000  1 Cl 2.31, 1 O 2.32, 1 Zn 2.42
Zn2 0.0632 0.8274 0.3841  2 O 1.97-1.98
Zn3 0.3778 0.2774 0.2734  3 O 1.92-1.95
Zn4 0.7888 0.6576 0.0625  2 O 2.06-2.20
Cl1 0.0603 0.3336 0.8791  2 Zn 2.31-2.40
Cl2 0.4945 0.7983 0.5770  2 Zn 2.30
O1 0.2837 0.5847 0.2118  3 Zn 1.92-2.06
O2 0.9514 0.1208 0.2751  3 Zn 1.93-1.98

## Properties
ΔE to the lowest computed polymorph ... 37 meV per atom
Energy relative to the elements, uncorrected ... -994 meV/atom

---

[4]
This record from Alexandria describes a geometry-optimized ErAlPd structure. The functional is PBE.

a b c (Å): 7.0180 4.2584 11.8740
angles (deg): 90.00 91.59 90.00
With the nearest neighbours (Å) after each atom.
Fractional coordinates of all 18 atoms:
Er1 0.0310 0.2500 0.3740  5 Pd 2.89-3.07, 2 Al 3.16
Er2 0.1549 0.2500 0.0821  5 Pd 2.92-3.07, 3 Al 3.17-3.21
Er3 0.4657 0.7500 0.7101  5 Pd 2.78-3.00, 1 Al 3.08
Er4 0.5343 0.2500 0.2899  5 Pd 2.78-3.00, 1 Al 3.08
Er5 0.8451 0.7500 0.9179  5 Pd 2.92-3.07, 3 Al 3.17-3.21
Er6 0.9690 0.7500 0.6260  5 Pd 2.89-3.07, 2 Al 3.16
Al1 0.1387 0.2500 0.7973  4 Pd 2.65-2.81, 1 Al 2.89
Al2 0.3550 0.7500 0.4572  4 Pd 2.63-2.67
Al3 0.4976 0.7500 0.0830  4 Pd 2.59-2.70, 1 Al 2.89
Al4 0.5024 0.2500 0.9170  4 Pd 2.59-2.70, 1 Al 2.89
Al5 0.6450 0.2500 0.5428  4 Pd 2.63-2.67
Al6 0.8613 0.7500 0.2027  4 Pd 2.65-2.81, 1 Al 2.89
Pd1 0.2419 0.7500 0.2441  3 Al 2.63-2.70, 2 Er 2.92
Pd2 0.2668 0.7500 0.9093  5 Al 2.59-2.70, 1 Er 2.78
Pd3 0.2706 0.2500 0.5758  4 Al 2.63-2.81, 1 Er 2.89
Pd4 0.7294 0.7500 0.4242  4 Al 2.63-2.81, 1 Er 2.89
Pd5 0.7332 0.2500 0.0907  5 Al 2.59-2.70, 1 Er 2.78
Pd6 0.7581 0.2500 0.7559  3 Al 2.63-2.70, 2 Er 2.92

## Properties
ΔH_f (0 K) ... -878 meV per atom

---

[5]
This record from Alexandria describes a geometry-optimized TbZnCuPt3 structure. The functional is PBE.

a b c (Å): 7.1116 7.1116 5.6656
angles (deg): 90.00 90.00 132.84
With the nearest neighbours (Å) after each atom.
Fractional coordinates of all 12 atoms:
Tb1 0.1718 0.8282 0.7500  1 Cu 2.68, 2 Pt 2.84, 2 Zn 2.88
Tb2 0.8282 0.1718 0.2500  1 Cu 2.68, 2 Pt 2.84, 2 Zn 2.88
Zn1 0.1320 0.8680 0.2500  5 Pt 2.54-2.64, 2 Cu 2.85
Zn2 0.8680 0.1320 0.7500  5 Pt 2.54-2.64, 2 Cu 2.85
Cu1 0.3774 0.6226 0.7500  4 Pt 2.57, 1 Tb 2.68, 2 Zn 2.85
Cu2 0.6226 0.3774 0.2500  4 Pt 2.57, 1 Tb 2.68, 2 Zn 2.85
Pt1 0.2491 0.2491 0.0000  2 Cu 2.57, 2 Zn 2.64, 4 Pt 2.83-2.86
Pt2 0.2491 0.2491 0.5000  2 Cu 2.57, 2 Zn 2.64, 4 Pt 2.83-2.86
Pt3 0.3272 0.6728 0.2500  1 Zn 2.54, 2 Tb 2.84
Pt4 0.6728 0.3272 0.7500  1 Zn 2.54, 2 Tb 2.84
Pt5 0.7509 0.7509 0.0000  2 Cu 2.57, 2 Zn 2.64, 4 Pt 2.83-2.86
Pt6 0.7509 0.7509 0.5000  2 Cu 2.57, 2 Zn 2.64, 4 Pt 2.83-2.86

## Properties
ΔH_f (0 K) ... -511 meV per atom

---

[6]
This record from Alexandria describes a geometry-optimized LiIn6Ga2 structure. The functional is PBE.

a b c (Å): 6.9921 6.9921 9.6043
angles (deg): 128.71 128.71 37.52
With the nearest neighbours (Å) after each atom.
Fractional coordinates of all 9 atoms:
Li1 0.0000 0.0000 0.0000  8 In 3.12-3.18, 4 Ga 3.15
In1 0.0123 0.0123 0.3399  3 Ga 3.04-3.39, 1 Li 3.16, 7 In 3.25-3.41
In2 0.3171 0.3171 0.3358  3 Ga 3.04-3.17, 1 Li 3.18, 5 In 3.25-3.39
In3 0.3384 0.3384 0.0031  2 Ga 3.08-3.10, 2 Li 3.12, 7 In 3.22-3.39
In4 0.6616 0.6616 0.9969  2 Ga 3.08-3.10, 2 Li 3.12, 7 In 3.22-3.39
In5 0.6829 0.6829 0.6642  3 Ga 3.04-3.17, 1 Li 3.18, 5 In 3.25-3.39
In6 0.9877 0.9877 0.6601  3 Ga 3.04-3.39, 1 Li 3.16, 7 In 3.25-3.41
Ga1 0.3503 0.3503 0.6940  8 In 3.04-3.39, 2 Li 3.15
Ga2 0.6497 0.6497 0.3060  8 In 3.04-3.39, 2 Li 3.15

## Properties
ΔE to the lowest computed polymorph ... 0 meV per atom
ΔH_f (0 K) ... -34 meV per atom

---

[7]
This record from Alexandria describes a geometry-optimized Ac12HoPb6 structure. The functional is PBE.

a b c (Å): 9.7023 9.7023 9.7023
angles (deg): 101.11 101.11 101.11
With the nearest neighbours (Å) after each atom.
Fractional coordinates of all 19 atoms:
Ac1 0.0391 0.6735 0.9388  1 Ho 3.22, 2 Pb 3.34-3.38
Ac2 0.0612 0.9609 0.3265  1 Ho 3.22, 2 Pb 3.34-3.38
Ac3 0.1854 0.4118 0.5487  4 Pb 3.42-3.58
Ac4 0.3265 0.0612 0.9609  1 Ho 3.22, 2 Pb 3.34-3.38
Ac5 0.4118 0.5487 0.1854  4 Pb 3.42-3.58
Ac6 0.4513 0.8146 0.5882  4 Pb 3.42-3.58
Ac7 0.5487 0.1854 0.4118  4 Pb 3.42-3.58
Ac8 0.5882 0.4513 0.8146  4 Pb 3.42-3.58
Ac9 0.6735 0.9388 0.0391  1 Ho 3.22, 2 Pb 3.34-3.38
Ac10 0.8146 0.5882 0.4513  4 Pb 3.42-3.58
Ac11 0.9388 0.0391 0.6735  1 Ho 3.22, 2 Pb 3.34-3.38
Ac12 0.9609 0.3265 0.0612  1 Ho 3.22, 2 Pb 3.34-3.38
Ho1 0.0000 0.0000 0.0000  6 Ac 3.22
Pb1 0.1282 0.6346 0.3158  7 Ac 3.34-3.70
Pb2 0.3158 0.1282 0.6346  7 Ac 3.34-3.70
Pb3 0.3654 0.6842 0.8718  7 Ac 3.34-3.70
Pb4 0.6346 0.3158 0.1282  7 Ac 3.34-3.70
Pb5 0.6842 0.8718 0.3654  7 Ac 3.34-3.70
Pb6 0.8718 0.3654 0.6842  7 Ac 3.34-3.70

## Properties
ΔH_f (0 K) ... -97 meV per atom

---

[8]
This record from Alexandria describes a geometry-optimized PuBeGeOs structure. The functional is PBE.

a b c (Å): 5.4964 5.4964 5.4964
angles (deg): 43.31 43.31 43.31
With the nearest neighbours (Å) after each atom.
Fractional coordinates of all 4 atoms:
Pu1 0.0000 0.0000 0.0000  4 Os 2.96-3.17, 4 Ge 2.98-3.07, 3 Be 3.02
Be1 0.4615 0.4615 0.4615  3 Os 2.34, 3 Ge 2.57
Ge1 0.1998 0.1998 0.1998  3 Be 2.57, 3 Os 2.62
Os1 0.7876 0.7876 0.7876  3 Be 2.34, 3 Ge 2.62

## Properties
ΔH_f (0 K) ... -100 meV per atom

---

[9]
This record from Alexandria describes a geometry-optimized LiTa2P structure. The functional is PBE.

a b c (Å): 3.8168 3.9396 3.9595
angles (deg): 90.00 90.00 90.00
With the nearest neighbours (Å) after each atom.
Fractional coordinates of all 4 atoms:
Li1 0.0000 0.0000 0.0000  8 Ta 2.74-2.75, 4 P 2.79
Ta1 0.5000 0.0000 0.5000  4 P 2.74, 4 Li 2.75, 4 Ta 2.79
Ta2 0.5000 0.5000 0.0000  4 Li 2.74, 4 P 2.75, 4 Ta 2.79
P1 0.0000 0.5000 0.5000  8 Ta 2.74-2.75, 4 Li 2.79

## Properties
ΔH_f (0 K) ... -42 meV per atom

---

[10]
This record from Alexandria describes a geometry-optimized K3Mn2Se4 structure. The functional is PBE.

a b c (Å): 9.0423 9.0423 7.0011
angles (deg): 91.22 91.22 74.24
With the nearest neighbours (Å) after each atom.
Fractional coordinates of all 18 atoms:
K1 0.1002 0.8998 0.7500  6 Se 3.26-3.40
K2 0.2463 0.5137 0.4649  6 Se 3.30-3.67
K3 0.4863 0.7537 0.0351  6 Se 3.30-3.67
K4 0.5137 0.2463 0.9649  6 Se 3.30-3.67
K5 0.7537 0.4863 0.5351  6 Se 3.30-3.67
K6 0.8998 0.1002 0.2500  6 Se 3.26-3.40
Mn1 0.0865 0.3313 0.9288  4 Se 2.47-2.53
Mn2 0.3313 0.0865 0.4288  4 Se 2.47-2.53
Mn3 0.6687 0.9135 0.5712  4 Se 2.47-2.53
Mn4 0.9135 0.6687 0.0712  4 Se 2.47-2.53
Se1 0.0961 0.2375 0.5936  2 Mn 2.47-2.49
Se2 0.1918 0.5593 0.9826  2 Mn 2.51-2.53
Se3 0.2375 0.0961 0.0936  2 Mn 2.47-2.49
Se4 0.4407 0.8082 0.5174  2 Mn 2.51-2.53
Se5 0.5593 0.1918 0.4826  2 Mn 2.51-2.53
Se6 0.7625 0.9039 0.9064  2 Mn 2.47-2.49
Se7 0.8082 0.4407 0.0174  2 Mn 2.51-2.53
Se8 0.9039 0.7625 0.4064  2 Mn 2.47-2.49

## Properties
ΔE to the lowest computed polymorph ... 0 meV per atom
Energy relative to the elements, uncorrected ... -871 meV/atom

---

Number 1: energy -86.116 eV for the cell shown. Number 2: energy -34.913 eV for the cell shown. Number 3: energy -26.654 eV for the cell shown. Number 4: energy -96.788 eV for the cell shown. Number 5: energy -62.384 eV for the cell shown. Number 6: energy -24.706 eV for the cell shown. Number 7: energy -77.965 eV for the cell shown. Number 8: energy -34.304 eV for the cell shown. Number 9: energy -31.198 eV for the cell shown. Number 10: energy -86.810 eV for the cell shown.